1.
Density functional theory data (PBE) for a geometry-optimized YBiPdSe3 structure.

Values from the calculation:
- Uncorrected energy: -5.28 eV per atom
- Space-group type: No. 63

a = 7.2859 Å, b = 7.2859 Å, c = 10.6747 Å
α = 90.00°, β = 90.00°, γ = 148.42°
With the nearest neighbours (Å) after each atom.
Element x y z (fractional)
1 Pd 0.0480 0.9520 0.7500  4 Se 2.61-2.66, 2 Bi 2.85
2 Se 0.1473 0.8526 0.5433  1 Pd 2.61, 2 Y 2.90
3 Bi 0.6940 0.3060 0.7500  2 Pd 2.85, 4 Se 3.04
4 Se 0.4215 0.5785 0.7500  2 Pd 2.66, 2 Y 2.89
5 Pd 0.9520 0.0480 0.2500  4 Se 2.61-2.66, 2 Bi 2.85
6 Se 0.8526 0.1473 0.0433  1 Pd 2.61, 2 Y 2.90
7 Bi 0.3060 0.6940 0.2500  2 Pd 2.85, 4 Se 3.04
8 Y 0.5000 0.5000 0.0000  6 Se 2.89-2.90
9 Se 0.8526 0.1473 0.4567  1 Pd 2.61, 2 Y 2.90
10 Y 0.5000 0.5000 0.5000  6 Se 2.89-2.90
11 Se 0.1473 0.8526 0.9567  1 Pd 2.61, 2 Y 2.90
12 Se 0.5785 0.4215 0.2500  2 Pd 2.66, 2 Y 2.89


2.
Density functional theory data (PBE) for a geometry-optimized NaHoBeSe3 structure.

Values from the calculation:
- Uncorrected energy: -4.68 eV per atom
- Space-group type: No. 63

a = 7.0218 Å, b = 7.0218 Å, c = 10.8195 Å
α = 90.00°, β = 90.00°, γ = 147.51°
With the nearest neighbours (Å) after each atom.
Element x y z (fractional)
1 Se 0.5699 0.4301 0.2500  2 Be 2.42
2 Be 0.9653 0.0347 0.2500  4 Se 2.24-2.42
3 Ho 0.5000 0.5000 0.5000  6 Se 2.81-2.86
4 Se 0.1334 0.8666 0.9163  1 Be 2.24
5 Se 0.4301 0.5699 0.7500  2 Be 2.42
6 Ho 0.5000 0.5000 0.0000  6 Se 2.81-2.86
7 Be 0.0347 0.9653 0.7500  4 Se 2.24-2.42
8 Se 0.1334 0.8666 0.5837  1 Be 2.24
9 Se 0.8666 0.1334 0.4163  1 Be 2.24
10 Se 0.8666 0.1334 0.0837  1 Be 2.24
11 Na 0.7471 0.2529 0.7500  6 Se 3.07-3.15
12 Na 0.2529 0.7471 0.2500  6 Se 3.07-3.15